[1]
The following is a PBE calculation of PuSnF2 after structural relaxation, from the Alexandria database.

Cell lengths 3.3475, 3.3475, 9.0088 Å; angles 79.29, 79.29, 60.00 degrees
Fractional coordinates of all 4 atoms:
F 0.0832 0.0832 0.7503
F 0.9168 0.9168 0.2497
Sn 0.5000 0.5000 0.5000
Pu 0.0000 0.0000 0.0000

Values from the calculation:
symmetry: No. 166
DOS at the Fermi energy: 2.030 states/eV/atom
formation energy without anion corrections: -1.67 eV/atom



[2]
The following is a PBE calculation of Al2SiBr after structural relaxation, from the Alexandria database.

Cell lengths 9.2681, 9.2681, 9.2681 Å; angles 21.27, 21.27, 21.27 degrees
Fractional coordinates of all 4 atoms:
Si 0.7219 0.7219 0.7219
Al 0.9942 0.9942 0.9942
Al 0.2577 0.2577 0.2577
Br 0.5262 0.5262 0.5262

Values from the calculation:
symmetry: No. 160
ΔE to the lowest computed polymorph: 67 kJ/mol of formula units
DOS at the Fermi energy: 0.360 states/eV/atom
formation energy without anion corrections: 0.14 eV/atom



[3]
The following is a PBE calculation of SrLi2Y2Tl2 after structural relaxation, from the Alexandria database.

Cell lengths 4.9495, 4.9495, 9.9628 Å; angles 75.62, 75.62, 60.00 degrees
Fractional coordinates of all 7 atoms:
Sr 0.0000 0.0000 0.0000
Li 0.5894 0.5894 0.2317
Li 0.4106 0.4106 0.7683
Y 0.1300 0.1300 0.6101
Y 0.8700 0.8700 0.3899
Tl 0.7500 0.7500 0.7500
Tl 0.2500 0.2500 0.2500

Values from the calculation:
symmetry: No. 166
E: -3.5145 eV per atom
DOS at the Fermi energy: 0.920 states/eV/atom



[4]
The following is a PBE calculation of K2CuSi4O10 after structural relaxation, from the Alexandria database.

Cell lengths 8.3816, 11.2150, 11.4370 Å; angles 111.03, 90.00, 90.00 degrees
Fractional coordinates of all 68 atoms:
K 0.7500 0.4182 0.9143
K 0.2500 0.0584 0.4433
K 0.2500 0.9771 0.0461
K 0.7500 0.0229 0.9539
K 0.2500 0.5818 0.0857
K 0.7500 0.5397 0.5299
K 0.7500 0.9416 0.5567
K 0.2500 0.4603 0.4701
Cu 0.5018 0.7897 0.7120
Cu 0.4982 0.2103 0.2880
Cu 0.9982 0.7897 0.7120
Cu 0.0018 0.2103 0.2880
Si 0.0654 0.5170 0.7503
Si 0.5573 0.9038 0.2387
Si 0.5595 0.2497 0.5909
Si 0.4346 0.5170 0.7503
Si 0.4405 0.7503 0.4091
Si 0.0592 0.2700 0.0374
Si 0.4408 0.2700 0.0374
Si 0.9408 0.7300 0.9626
Si 0.9346 0.4830 0.2497
Si 0.0595 0.7503 0.4091
Si 0.0573 0.0962 0.7613
Si 0.5654 0.4830 0.2497
Si 0.9405 0.2497 0.5909
Si 0.5592 0.7300 0.9626
Si 0.9427 0.9038 0.2387
Si 0.4427 0.0962 0.7613
O 0.9999 0.7838 0.1103
O 0.0001 0.2162 0.8897
O 0.5419 0.9706 0.7473
O 0.9477 0.3903 0.7072
O 0.7500 0.9230 0.2299
O 0.4688 0.2502 0.4687
O 0.0312 0.2502 0.4687
O 0.0223 0.1433 0.6424
O 0.5001 0.7838 0.1103
O 0.9581 0.9706 0.7473
O 0.9688 0.7498 0.5313
O 0.9867 0.8272 0.8941
O 0.0523 0.6097 0.2928
O 0.0280 0.6062 0.6715
O 0.4720 0.6062 0.6715
O 0.4682 0.5890 0.9029
O 0.2500 0.3068 0.0414
O 0.5280 0.3938 0.3285
O 0.9720 0.3938 0.3285
O 0.9777 0.8567 0.3576
O 0.7500 0.5373 0.2655
O 0.4777 0.1433 0.6424
O 0.4581 0.0294 0.2527
O 0.5523 0.3903 0.7072
O 0.5312 0.7498 0.5313
O 0.0318 0.5890 0.9029
O 0.0133 0.1728 0.1059
O 0.2500 0.0770 0.7701
O 0.7500 0.2111 0.5712
O 0.5318 0.4110 0.0971
O 0.2500 0.4627 0.7345
O 0.4999 0.2162 0.8897
O 0.0419 0.0294 0.2527
O 0.5133 0.8272 0.8941
O 0.4867 0.1728 0.1059
O 0.7500 0.6932 0.9586
O 0.5223 0.8567 0.3576
O 0.4477 0.6097 0.2928
O 0.9682 0.4110 0.0971
O 0.2500 0.7889 0.4288

Values from the calculation:
symmetry: No. 11
formation energy without anion corrections: -2.40 eV/atom



[5]
The following is a PBE calculation of Ca2SiNi after structural relaxation, from the Alexandria database.

Cell lengths 3.1872, 4.9323, 5.8985 Å; angles 90.00, 90.00, 90.00 degrees
Fractional coordinates of all 4 atoms:
Ca 0.0000 0.0000 0.9195
Ca 0.5000 0.5000 0.3317
Ni 0.0000 0.0000 0.4249
Si 0.5000 0.5000 0.8239

Values from the calculation:
symmetry: No. 25
DOS at the Fermi energy: 0.450 states/eV/atom
formation energy without anion corrections: 0.15 eV/atom



[6]
The following is a PBE calculation of SrAlPH2 after structural relaxation, from the Alexandria database.

Cell lengths 5.8178, 5.8178, 6.2841 Å; angles 117.57, 117.57, 90.00 degrees
Fractional coordinates of all 10 atoms:
Sr 0.8090 0.3090 0.6180
Sr 0.3090 0.8090 0.6180
Al 0.9919 0.9919 0.9839
Al 0.4919 0.4919 0.9839
P 0.7369 0.7369 0.4739
P 0.2369 0.2369 0.4739
H 0.2315 0.7315 0.9624
H 0.7315 0.7308 0.9624
H 0.7308 0.2308 0.9624
H 0.2308 0.2315 0.9624

Values from the calculation:
symmetry: No. 99
E: -3.8863 eV per atom
DOS at the Fermi energy: 0.101 states/eV/atom